Entry 1:
DFT (meta-GGA SCAN) results for a crystal of MnAgRu relaxed with PBEsol.

Results
**ΔH_f (0 K)**: 61 kJ/mol of atoms
**SG**: F-43m (216)
**Total magnetization**: 9.036 μB/cell
**Fermi-level density of states**: 2.8 states/eV/f.u.
**Calculated volume**: 15.6 Å³ per atom

a = 5.719 Å, b = 5.719 Å, c = 5.719 Å
α = 90.00°, β = 90.00°, γ = 90.00°
Fractional positions:
Mn 0.000 0.000 0.000
Mn 0.000 0.500 0.500
Mn 0.500 0.000 0.500
Mn 0.500 0.500 0.000
Ag 0.250 0.250 0.250
Ag 0.250 0.750 0.750
Ag 0.750 0.250 0.750
Ag 0.750 0.750 0.250
Ru 0.250 0.250 0.750
Ru 0.250 0.750 0.250
Ru 0.750 0.250 0.250
Ru 0.750 0.750 0.750

***

Entry 2:
DFT (meta-GGA SCAN) results for a crystal of La4Ag relaxed with PBEsol.

Results
**ΔH_f (0 K)**: -12 kJ/mol of atoms
**SG**: I4/m (87)
**Total magnetization**: 0.001 μB/cell
**Fermi-level density of states**: 6.2 states/eV/f.u.
**Calculated volume**: 31.0 Å³ per atom

a = 9.086 Å, b = 9.086 Å, c = 3.751 Å
α = 90.00°, β = 90.00°, γ = 90.00°
Fractional positions:
La 0.081 0.726 0.000
La 0.226 0.419 0.500
La 0.274 0.081 0.000
La 0.419 0.774 0.500
La 0.581 0.226 0.500
La 0.726 0.919 0.000
La 0.774 0.581 0.500
La 0.919 0.274 0.000
Ag 0.000 0.000 0.500
Ag 0.500 0.500 0.000

***

Entry 3:
DFT (meta-GGA SCAN) results for a crystal of Y3Hg relaxed with PBEsol.

Results
**ΔH_f (0 K)**: -40 kJ/mol of atoms
**SG**: Pnma (62)
**Total magnetization**: 0.011 μB/cell
**Fermi-level density of states**: 3.6 states/eV/f.u.
**Calculated volume**: 28.3 Å³ per atom

a = 6.885 Å, b = 9.923 Å, c = 6.632 Å
α = 90.00°, β = 90.00°, γ = 90.00°
Fractional positions:
Y 0.005 0.250 0.110
Y 0.196 0.544 0.310
Y 0.196 0.956 0.310
Y 0.304 0.044 0.810
Y 0.304 0.456 0.810
Y 0.495 0.750 0.610
Y 0.505 0.250 0.390
Y 0.696 0.544 0.190
Y 0.696 0.956 0.190
Y 0.804 0.044 0.690
Y 0.804 0.456 0.690
Y 0.995 0.750 0.890
Hg 0.089 0.250 0.549
Hg 0.411 0.750 0.049
Hg 0.589 0.250 0.951
Hg 0.911 0.750 0.451

***

Entry 4:
DFT (meta-GGA SCAN) results for a crystal of CdCoSbH2 relaxed with PBEsol.

Results
**Final energy**: -17.750 eV/atom
**SG**: P4/mmm (123)
**Total magnetization**: 0.000 μB/cell
**Fermi-level density of states**: 1.6 states/eV/f.u.
**Calculated volume**: 16.1 Å³ per atom

a = 3.526 Å, b = 3.526 Å, c = 6.473 Å
α = 90.00°, β = 90.00°, γ = 90.00°
Fractional positions:
Cd 0.000 0.000 0.000
Co 0.500 0.500 0.500
Sb 0.000 0.000 0.500
H 0.000 0.500 0.000
H 0.500 0.000 0.000

***

Entry 5:
DFT (meta-GGA SCAN) results for a crystal of Ca2PCl relaxed with PBEsol.

Results
**Uncorrected formation energy**: -1.522 eV per atom
**SG**: C2/m (12)
**Total magnetization**: 0.000 μB/cell
**Fermi-level density of states**: 0.3 states/eV/f.u.
**Calculated volume**: 22.3 Å³ per atom

a = 7.152 Å, b = 7.152 Å, c = 3.569 Å
α = 90.00°, β = 102.50°, γ = 90.00°
Fractional positions:
Ca 0.250 0.250 0.000
Ca 0.250 0.750 0.000
Ca 0.750 0.250 0.000
Ca 0.750 0.750 0.000
P 0.000 0.000 0.500
P 0.500 0.500 0.500
Cl 0.000 0.500 0.500
Cl 0.500 0.000 0.500

***

Entry 6:
DFT (meta-GGA SCAN) results for a crystal of KLiCu2 relaxed with PBEsol.

Results
**ΔH_f (0 K)**: 37 kJ/mol of atoms
**SG**: P4/mmm (123)
**Total magnetization**: 0.000 μB/cell
**Fermi-level density of states**: 1.2 states/eV/f.u.
**Calculated volume**: 18.8 Å³ per atom

a = 3.193 Å, b = 3.193 Å, c = 7.389 Å
α = 90.00°, β = 90.00°, γ = 90.00°
Fractional positions:
K 0.000 0.000 0.000
Li 0.000 0.000 0.500
Cu 0.500 0.500 0.334
Cu 0.500 0.500 0.666